Computed, not measured: crystalline RbErBeTe3 at its relaxed geometry at the GGA-PBE level of DFT.

Cell lengths 10.2002, 4.2683, 10.3893 Å; angles 90.00, 111.33, 90.00 degrees
Sites, in units of the cell vectors:
Rb  0.2090  0.2500  0.2383
Rb  0.7910  0.7500  0.7617
Er  0.3305  0.7500  0.8589
Er  0.6695  0.2500  0.1411
Be  0.0794  0.2500  0.6039
Be  0.9206  0.7500  0.3961
Te  0.1132  0.2500  0.8492
Te  0.1803  0.7500  0.5338
Te  0.4704  0.7500  0.1716
Te  0.5296  0.2500  0.8284
Te  0.8197  0.2500  0.4662
Te  0.8868  0.7500  0.1508

Computed properties:
As for the formation energy from raw total energies: -1001 meV/atom. Its total moment is 0.000 Bohr magnetons per cell. For the calculated density, the calculation gives 5.08 g/cm³.